Crystalline Cu2IrRh at its relaxed geometry, computed with PBE.

a b c (Å): 2.692 4.559 4.442
angles (deg): 90.00 90.00 90.00
Sites, in units of the cell vectors:
Cu (0.500, 0.500, 0.000)
Cu (0.000, 0.000, 0.000)
Ir (0.500, 0.000, 0.500)
Rh (0.000, 0.500, 0.500)

Offset from the most stable computed form = 0.117 eV per atom
Energy = -5.936 eV/atom
ΔE_f = 0.7 eV per formula unit
DOS(E_F) = 5.70 states/eV/cell